[1]
VASP calculation (PBE) on a relaxed structure of CsTbSeO.

```
16
Lattice="8.4786 0.0000 0.0000 0.0000 7.5186 0.0000 -1.3256 0.0000 6.6633" Properties=species:S:1:pos:R:3 pbc="T T T"
Cs 0.1229 1.6219 3.1728
Cs -0.5399 2.1374 6.5044
Cs 7.6929 5.3812 0.1588
Cs 7.0301 5.8967 3.4905
Tb 3.0401 4.7288 5.2169
Tb 3.7029 6.5491 1.8853
Tb 3.4501 0.9695 4.7780
Tb 4.1129 2.7898 1.4464
Se 1.7563 4.4765 2.4702
Se 1.0935 6.8014 5.8019
Se 6.0595 0.7172 0.8614
Se 5.3967 3.0421 4.1930
O 3.0122 1.0960 2.5609
O 2.3494 2.6633 5.8925
O 4.8036 4.8553 0.7707
O 4.1408 6.4226 4.1024
```

**Crystal system**: monoclinic
**Raw total energy**: -5.669 eV per atom


[2]
VASP calculation (PBE) on a relaxed structure of CsTbSe2O8.

```
12
Lattice="5.7053 0.0000 0.0000 -2.8527 4.9410 0.0000 0.0000 0.0000 8.0767" Properties=species:S:1:pos:R:3 pbc="T T T"
Cs 0.0000 0.0000 0.0000
Tb 0.0000 0.0000 4.0383
Se 0.0000 3.2940 2.0485
Se 2.8527 1.6470 6.0282
O 0.0000 1.7410 2.6546
O -1.3449 4.0705 2.6546
O 0.0000 3.2940 0.4114
O 1.5078 0.8705 5.4220
O 1.3449 4.0705 2.6546
O 2.8527 1.6470 7.6653
O 4.1976 0.8705 5.4220
O 2.8527 3.1999 5.4220
```

**Crystal system**: trigonal
**Raw total energy**: -5.884 eV per atom


[3]
VASP calculation (PBE) on a relaxed structure of CsTmSeO.

```
16
Lattice="8.4511 0.0000 0.0000 0.0000 7.3420 0.0000 -1.5237 0.0000 6.5333" Properties=species:S:1:pos:R:3 pbc="T T T"
Cs 0.7304 1.7006 0.0050
Cs -0.0314 1.9704 3.2716
Cs 6.9589 5.3716 3.2617
Cs 6.1970 5.6414 6.5283
Tm 3.6610 4.6066 1.8680
Tm 2.8992 6.4064 5.1346
Tm 4.0283 0.9356 1.3987
Tm 3.2665 2.7354 4.6653
Se 0.9683 4.4005 5.6398
Se 1.7301 6.6125 2.3731
Se 5.1973 0.7295 4.1602
Se 5.9592 2.9415 0.8935
O 2.1491 1.0595 5.7453
O 2.9110 2.6115 2.4786
O 4.0165 4.7305 4.0547
O 4.7784 6.2825 0.7880
```

**Crystal system**: monoclinic
**Raw total energy**: -5.637 eV per atom


[4]
VASP calculation (PBE) on a relaxed structure of CsTmSeO.

```
8
Lattice="4.6363 0.0000 0.0000 0.0000 4.6363 0.0000 0.0000 0.0000 10.9520" Properties=species:S:1:pos:R:3 pbc="T T T"
Cs 1.1591 3.4773 0.0000
Cs 3.4773 1.1591 0.0000
Tm 1.1591 1.1591 4.9838
Tm 3.4773 3.4773 5.9682
Se 1.1591 1.1591 2.3951
Se 3.4773 3.4773 8.5569
O 1.1591 3.4773 5.4760
O 3.4773 1.1591 5.4760
```

**Crystal system**: tetragonal
**Raw total energy**: -5.275 eV per atom


[5]
VASP calculation (PBE) on a relaxed structure of CsTmSeO.

```
8
Lattice="4.4832 0.0000 0.0000 0.0000 8.7565 0.0000 0.0000 0.0000 6.9129" Properties=species:S:1:pos:R:3 pbc="T T T"
Cs 0.0000 1.7130 0.0000
Cs 0.0000 7.0435 3.4565
Tm 2.2416 3.4143 3.0222
Tm 2.2416 5.3422 6.4786
Se 0.0000 1.8968 3.4791
Se 0.0000 6.8597 0.0226
O 2.2416 3.8163 0.9707
O 2.2416 4.9402 4.4271
```

**Crystal system**: orthorhombic
**Raw total energy**: -5.603 eV per atom


[6]
VASP calculation (PBE) on a relaxed structure of CsSm2O4.

```
14
Lattice="0.0000 5.1818 5.1818 5.1818 0.0000 5.1818 5.1818 5.1818 0.0000" Properties=species:S:1:pos:R:3 pbc="T T T"
Cs 1.2954 1.2954 1.2954
Cs 9.0681 9.0681 9.0681
Sm 5.1818 2.5909 2.5909
Sm 2.5909 5.1818 2.5909
Sm 2.5909 2.5909 5.1818
Sm 5.1818 5.1818 5.1818
O 2.8579 2.8579 2.8579
O 4.9148 4.9148 2.8579
O 4.9148 2.8579 4.9148
O 7.5057 5.4488 5.4488
O 2.8579 4.9148 4.9148
O 5.4488 7.5057 5.4488
O 5.4488 5.4488 7.5057
O 7.5057 7.5057 7.5057
```

**Crystal system**: cubic
**Raw total energy**: -6.832 eV per atom


[7]
VASP calculation (PBE) on a relaxed structure of CsTaO3.

```
10
Lattice="2.7775 1.6036 6.3971 -2.7775 1.6036 6.3971 0.0000 -3.2072 6.3971" Properties=species:S:1:pos:R:3 pbc="T T T"
Cs 0.0000 0.0000 2.4620
Cs 0.0000 0.0000 16.7295
Ta 0.0000 0.0000 6.5402
Ta 0.0000 0.0000 12.6512
O -1.3640 -0.8935 7.6077
O -1.4558 0.7345 11.5838
O 0.0918 -1.6280 11.5838
O -0.0918 1.6280 7.6077
O 1.4558 -0.7345 7.6077
O 1.3640 0.8936 11.5838
```

**Crystal system**: trigonal
**Raw total energy**: -8.089 eV per atom


[8]
VASP calculation (PBE) on a relaxed structure of Cs8Ta6O19.

```
33
Lattice="-4.8792 4.8792 7.0115 4.8792 -4.8792 7.0115 4.8792 4.8792 -7.0115" Properties=species:S:1:pos:R:3 pbc="T T T"
Cs 2.8306 -0.7630 2.1369
Cs 5.6422 -2.0486 4.8746
Cs 6.9278 0.7630 2.1369
Cs 0.7630 2.8306 2.1369
Cs 4.1161 2.0486 4.8746
Cs -2.0486 4.1161 4.8746
Cs -0.7630 6.9278 2.1369
Cs 2.0486 5.6422 4.8746
Ta 3.8138 2.7504 0.0000
Ta 0.0000 0.0000 4.6640
Ta 2.1288 -1.0654 7.0115
Ta 2.7504 5.9446 0.0000
Ta 0.0000 0.0000 9.3589
Ta 1.0654 2.1288 7.0115
O 2.8733 1.1895 0.0000
O 3.9921 3.1112 -1.9723
O 0.0000 0.0000 2.8354
O 5.7302 2.2645 0.0000
O 1.7680 -0.8871 5.0392
O 3.6897 -2.0058 7.0115
O 2.2645 4.0281 0.0000
O 3.1112 5.7662 -1.9723
O 3.9921 3.1112 1.9723
O 0.0000 0.0000 7.0115
O 0.8871 1.7680 5.0392
O 1.7680 -0.8871 8.9837
O 2.6147 0.8510 7.0115
O 1.1895 6.8850 0.0000
O 3.1112 5.7662 1.9723
O -0.8510 2.6147 7.0115
O 0.0000 0.0000 11.1875
O 0.8871 1.7680 8.9837
O 2.0058 3.6897 7.0115
```

**Crystal system**: tetragonal
**Raw total energy**: -7.751 eV per atom


[9]
VASP calculation (PBE) on a relaxed structure of CsTa2O4.

```
14
Lattice="0.0000 4.7693 4.7693 4.7693 0.0000 4.7693 4.7693 4.7693 0.0000" Properties=species:S:1:pos:R:3 pbc="T T T"
Cs 1.1923 1.1923 1.1923
Cs 8.3462 8.3462 8.3462
Ta 4.7693 2.3846 2.3846
Ta 2.3846 4.7693 2.3846
Ta 2.3846 2.3846 4.7693
Ta 4.7693 4.7693 4.7693
O 2.6721 2.6721 2.6721
O 4.4818 4.4818 2.6721
O 4.4818 2.6721 4.4818
O 6.8664 5.0567 5.0567
O 2.6721 4.4818 4.4818
O 5.0567 6.8664 5.0567
O 5.0567 5.0567 6.8664
O 6.8664 6.8664 6.8664
```

**Crystal system**: cubic
**Raw total energy**: -8.127 eV per atom


[10]
VASP calculation (PBE) on a relaxed structure of CsTaO3.

```
5
Lattice="4.1166 0.0000 0.0000 0.0000 4.1166 0.0000 0.0000 0.0000 4.1166" Properties=species:S:1:pos:R:3 pbc="T T T"
Cs 0.0000 0.0000 0.0000
Ta 2.0583 2.0583 2.0583
O 0.0000 2.0583 2.0583
O 2.0583 0.0000 2.0583
O 2.0583 2.0583 0.0000
```

**Crystal system**: cubic
**Raw total energy**: -7.884 eV per atom


[11]
VASP calculation (PBE) on a relaxed structure of CsTa3O2.

```
6
Lattice="5.3951 0.0000 0.0000 -2.6976 4.6723 0.0000 0.0000 0.0000 6.1032" Properties=species:S:1:pos:R:3 pbc="T T T"
Cs 0.0000 0.0000 0.0000
Ta -1.3488 2.3362 3.0516
Ta 2.6976 0.0000 3.0516
Ta 1.3488 2.3362 3.0516
O 0.0000 3.1149 1.6402
O 2.6976 1.5574 4.4630
```

**Crystal system**: trigonal
**Raw total energy**: -8.015 eV per atom


[12]
VASP calculation (PBE) on a relaxed structure of CsTaO3.

```
5
Lattice="4.4568 0.0000 0.0000 0.0000 4.4568 0.0000 0.0000 0.0000 4.4568" Properties=species:S:1:pos:R:3 pbc="T T T"
Cs 0.0000 0.0000 0.0000
Ta 2.2284 2.2284 2.2284
O 0.0000 0.0000 2.2284
O 0.0000 2.2284 0.0000
O 2.2284 0.0000 0.0000
```

**Crystal system**: cubic
**Raw total energy**: -4.104 eV per atom


[13]
VASP calculation (PBE) on a relaxed structure of CsTaO3.

```
5
Lattice="3.4008 0.0000 0.0000 0.0000 3.4008 0.0000 0.0000 0.0000 6.9094" Properties=species:S:1:pos:R:3 pbc="T T T"
Cs 0.0000 0.0000 0.0000
Ta 1.7004 1.7004 3.1261
O 0.0000 0.0000 4.2665
O 0.0000 1.7004 2.1814
O 1.7004 0.0000 2.1814
```

**Crystal system**: tetragonal
**Raw total energy**: -7.136 eV per atom


[14]
VASP calculation (PBE) on a relaxed structure of CsTaO3.

```
10
Lattice="2.7697 1.5991 6.6812 -2.7697 1.5991 6.6812 0.0000 -3.1981 6.6812" Properties=species:S:1:pos:R:3 pbc="T T T"
Cs 0.0000 0.0000 2.5976
Cs 0.0000 0.0000 17.4459
Ta 0.0000 0.0000 6.7753
Ta 0.0000 0.0000 13.2683
O -1.5391 -0.5621 7.8711
O -0.2827 -1.6140 12.1725
O -1.2564 1.0518 12.1725
O 1.2564 -1.0518 7.8711
O 0.2827 1.6140 7.8711
O 1.5391 0.5621 12.1725
```

**Crystal system**: trigonal
**Raw total energy**: -8.095 eV per atom


[15]
VASP calculation (PBE) on a relaxed structure of CsTaO3.

```
5
Lattice="3.9051 0.0000 0.0000 0.0000 3.9051 0.0000 0.0000 0.0000 5.5576" Properties=species:S:1:pos:R:3 pbc="T T T"
Cs 0.0000 0.0000 0.0000
Ta 1.9526 1.9526 2.7558
O 0.0000 1.9526 3.1791
O 1.9526 0.0000 3.1791
O 1.9526 1.9526 0.9620
```

**Crystal system**: tetragonal
**Raw total energy**: -8.052 eV per atom


[16]
VASP calculation (PBE) on a relaxed structure of CsTaTl2O4.

```
8
Lattice="-3.1395 4.3133 3.3796 3.1395 -4.3133 3.3796 3.1395 4.3133 -3.3796" Properties=species:S:1:pos:R:3 pbc="T T T"
Cs 0.0000 0.0000 0.0000
Ta 0.0000 4.3133 0.1353
Tl 3.1395 2.4238 0.0386
Tl 0.0000 1.8895 3.4182
O 1.5798 4.3133 -0.8773
O 1.5597 0.0000 2.5023
O 0.0000 2.7915 1.2024
O 0.0000 5.8350 1.2024
```

**Crystal system**: orthorhombic
**Raw total energy**: -6.490 eV per atom


[17]
VASP calculation (PBE) on a relaxed structure of CsTbTe2O8.

```
12
Lattice="5.9872 0.0000 0.0000 -2.9936 5.1851 0.0000 0.0000 0.0000 7.9169" Properties=species:S:1:pos:R:3 pbc="T T T"
Cs 0.0000 0.0000 0.0000
Tb 0.0000 0.0000 3.9584
Te 0.0000 3.4567 1.9088
Te 2.9936 1.7284 6.0081
O 0.0000 1.7494 2.5769
O -1.4786 4.3104 2.5769
O 0.0000 3.4567 0.0894
O 1.5151 0.8747 5.3400
O 1.4786 4.3104 2.5769
O 2.9936 1.7284 7.8275
O 4.4722 0.8747 5.3400
O 2.9936 3.4357 5.3400
```

**Crystal system**: trigonal
**Raw total energy**: -5.856 eV per atom


[18]
VASP calculation (PBE) on a relaxed structure of CsTbZnO3.

```
12
Lattice="1.7901 -6.6239 0.0000 1.7901 6.6239 0.0000 0.0000 0.0000 9.1418" Properties=species:S:1:pos:R:3 pbc="T T T"
Cs 1.7901 3.6402 6.8563
Cs 1.7901 -3.6402 2.2854
Tb 1.7901 0.0000 0.0000
Tb 1.7901 0.0000 4.5709
Zn 1.7901 5.9305 2.2854
Zn 1.7901 -5.9305 6.8563
O 1.7901 5.2337 0.4935
O 1.7901 5.2337 4.0774
O 1.7901 0.4322 2.2854
O 1.7901 -0.4322 6.8563
O 1.7901 -5.2337 5.0644
O 1.7901 -5.2337 8.6483
```

**Crystal system**: orthorhombic
**Raw total energy**: -5.829 eV per atom


[19]
VASP calculation (PBE) on a relaxed structure of Cs2Tc2O5.

```
9
Lattice="4.5282 -2.7857 0.0000 4.5282 2.7857 0.0000 -3.0744 0.0000 6.5328" Properties=species:S:1:pos:R:3 pbc="T T T"
Cs 0.0000 0.0000 0.0000
Cs 5.9614 0.0000 1.6993
Tc -0.0735 0.0000 4.1031
Tc 2.9473 0.0000 4.0842
O 1.4352 0.0000 2.8671
O 3.7126 1.3951 2.9410
O 3.6871 1.3898 5.2926
O 3.7126 -1.3951 2.9410
O 3.6871 -1.3898 5.2926
```

**Crystal system**: monoclinic
**Raw total energy**: -6.547 eV per atom


[20]
VASP calculation (PBE) on a relaxed structure of CsTc2O4.

```
14
Lattice="0.0000 4.7219 4.7219 4.7219 0.0000 4.7219 4.7219 4.7219 0.0000" Properties=species:S:1:pos:R:3 pbc="T T T"
Cs 1.1805 1.1805 1.1805
Cs 8.2634 8.2634 8.2634
Tc 4.7219 2.3610 2.3610
Tc 2.3610 4.7219 2.3610
Tc 2.3610 2.3610 4.7219
Tc 4.7219 4.7219 4.7219
O 2.6525 2.6525 2.6525
O 4.4304 4.4304 2.6525
O 4.4304 2.6525 4.4304
O 6.7914 5.0134 5.0134
O 2.6525 4.4304 4.4304
O 5.0134 6.7914 5.0134
O 5.0134 5.0134 6.7914
O 6.7914 6.7914 6.7914
```

**Crystal system**: cubic
**Raw total energy**: -6.907 eV per atom